Here is a geometry-optimized K2MnSb structure from the Alexandria database. Energies are from PBE-GGA.

## Properties
Formation energy (no corrections) ... 0.27 eV per atom
Spin magnetization ... 4.4 μB per formula unit
DOS(E_F) ... 4.2 states/eV/cell
V ... 121.07 Å³/cell

a b c (Å): 5.5575 5.5575 5.5575
angles (deg): 120.17 120.17 89.71
Last column: nearest neighbours and their distance in Å.
Positions (direct):
K: 0.0000 0.0000 0.0000  4 Mn 3.40, 4 K 3.40
K: 0.7500 0.2500 0.5000  4 Sb 3.40, 4 K 3.40
Mn: 0.2500 0.7500 0.5000  4 Sb 3.40, 4 K 3.40
Sb: 0.5000 0.5000 0.0000  4 Mn 3.40, 4 K 3.40

---

Here is a geometry-optimized K2MnSb structure from the Alexandria database. Energies are from PBE-GGA.

## Properties
Formation energy (no corrections) ... 0.43 eV per atom
Spin magnetization ... 4.4 μB per formula unit
DOS(E_F) ... 3.8 states/eV/cell
V ... 131.63 Å³/cell

a b c (Å): 3.4026 3.4026 11.3690
angles (deg): 90.00 90.00 90.00
Last column: nearest neighbours and their distance in Å.
Positions (direct):
K: 0.0000 0.0000 0.2325  4 K 3.40, 4 Sb 3.57
K: 0.0000 0.0000 0.7675  4 K 3.40, 4 Sb 3.57
Mn: 0.5000 0.5000 0.5000  4 Mn 3.40
Sb: 0.5000 0.5000 0.0000  4 Sb 3.40, 8 K 3.57